Record 1
The following is a DFT calculation (PBE) of PmY5Cd3 after structural relaxation.

Computed properties:
As for the total moment: 0.0 Bohr magnetons per cell. The total energy is -4.62 eV/atom. The value obtained for the density is 5.96 g cm⁻³. The value obtained for the formation energy from the elements is -200 meV/atom. The value obtained for the density of states at the Fermi level is 12.91 states/eV per cell. As for the crystal system: hexagonal.

Cell and atoms, written as CIF:
```
data_PmY5Cd3
_chemical_formula_sum 'Pm2 Y10 Cd6'
_cell_length_a 9.2420
_cell_length_b 9.2420
_cell_length_c 6.9848
_cell_angle_alpha 90.00
_cell_angle_beta 90.00
_cell_angle_gamma 120.00
_space_group_name_H-M_alt 'P 63/m c m'
_space_group_IT_number 193
_space_group_name_Hall '-P 6c 2'
loop_
_atom_site_label
_atom_site_type_symbol
_atom_site_fract_x
_atom_site_fract_y
_atom_site_fract_z
_atom_site_occupancy
Pm1 Pm 0.0000 0.0000 0.0000 1
Y1 Y 0.0000 0.3325 0.2500 1
Y2 Y 0.3333 0.6667 0.0000 1
Cd1 Cd 0.0000 0.3371 0.7500 1
```

---

Record 2
The following is a DFT calculation (PBE) of NaLi6Pb4 after structural relaxation.

Computed properties:
As for the total moment: 0.0 Bohr magnetons per cell. The total energy is -2.69 eV/atom. The value obtained for the density is 5.59 g cm⁻³. The value obtained for the formation energy from the elements is -182 meV/atom. The value obtained for the density of states at the Fermi level is 5.66 states/eV per cell. As for the crystal system: hexagonal.

Cell and atoms, written as CIF:
```
data_NaLi6Pb4
_chemical_formula_sum 'Na1 Li6 Pb4'
_cell_length_a 8.0830
_cell_length_b 8.0830
_cell_length_c 4.6887
_cell_angle_alpha 90.00
_cell_angle_beta 90.00
_cell_angle_gamma 120.00
_space_group_name_H-M_alt 'P -6 m 2'
_space_group_IT_number 187
_space_group_name_Hall 'P -6 2'
loop_
_atom_site_label
_atom_site_type_symbol
_atom_site_fract_x
_atom_site_fract_y
_atom_site_fract_z
_atom_site_occupancy
Na1 Na 0.0000 0.0000 0.0000 1
Li1 Li 0.2143 0.4286 0.5000 1
Li2 Li 0.5331 0.0662 0.0000 1
Pb1 Pb 0.3333 0.6667 0.0000 1
Pb2 Pb 0.4058 0.2029 0.5000 1
```

---

Record 3
The following is a DFT calculation (PBE) of TcPbW2 after structural relaxation.

Computed properties:
As for the total moment: 0.0 Bohr magnetons per cell. The total energy is -9.33 eV/atom. The value obtained for the density is 15.72 g cm⁻³. The value obtained for the formation energy from the elements is 667 meV/atom. The value obtained for the density of states at the Fermi level is 2.84 states/eV per cell. As for the crystal system: monoclinic.

Cell and atoms, written as CIF:
```
data_TcPbW2
_chemical_formula_sum 'Tc1 Pb1 W2'
_cell_length_a 2.9529
_cell_length_b 4.1783
_cell_length_c 5.7614
_cell_angle_alpha 90.00
_cell_angle_beta 90.19
_cell_angle_gamma 90.00
_space_group_name_H-M_alt 'P 1 2/m 1'
_space_group_IT_number 10
_space_group_name_Hall '-P 2y'
loop_
_atom_site_label
_atom_site_type_symbol
_atom_site_fract_x
_atom_site_fract_y
_atom_site_fract_z
_atom_site_occupancy
Tc1 Tc 0.0000 0.0000 0.0000 1
Pb1 Pb 0.0000 0.0000 0.5000 1
W1 W 0.4973 0.5000 0.2122 1
```

---

Record 4
The following is a DFT calculation (PBE) of Be2InGaGe after structural relaxation.

Computed properties:
As for the total moment: 0.0 Bohr magnetons per cell. The total energy is -2.83 eV/atom. The value obtained for the density is 4.54 g cm⁻³. The value obtained for the formation energy from the elements is 738 meV/atom. The value obtained for the density of states at the Fermi level is 2.08 states/eV per cell. As for the crystal system: tetragonal.

Cell and atoms, written as CIF:
```
data_Be2InGaGe
_chemical_formula_sum 'Be2 In1 Ga1 Ge1'
_cell_length_a 4.2370
_cell_length_b 4.2370
_cell_length_c 5.6028
_cell_angle_alpha 90.00
_cell_angle_beta 90.00
_cell_angle_gamma 90.00
_space_group_name_H-M_alt 'P 4/m m m'
_space_group_IT_number 123
_space_group_name_Hall '-P 4 2'
loop_
_atom_site_label
_atom_site_type_symbol
_atom_site_fract_x
_atom_site_fract_y
_atom_site_fract_z
_atom_site_occupancy
Be1 Be 0.0000 0.5000 0.0000 1
In1 In 0.0000 0.0000 0.5000 1
Ga1 Ga 0.0000 0.0000 0.0000 1
Ge1 Ge 0.5000 0.5000 0.5000 1
```

---

Record 5
The following is a DFT calculation (PBE) of TmZn10Ni2 after structural relaxation.

Computed properties:
As for the total moment: 0.0 Bohr magnetons per cell. The total energy is -2.46 eV/atom. For the energy relative to the lowest polymorph listed for this composition, the calculation gives 0 meV per atom. The value obtained for the density is 8.07 g cm⁻³. The value obtained for the formation energy from the elements is -244 meV/atom. The value obtained for the density of states at the Fermi level is 20.48 states/eV per cell. As for the crystal system: orthorhombic.

Cell and atoms, written as CIF:
```
data_TmZn10Ni2
_chemical_formula_sum 'Tm4 Zn40 Ni8'
_cell_length_a 8.7663
_cell_length_b 10.2268
_cell_length_c 8.6366
_cell_angle_alpha 90.00
_cell_angle_beta 90.00
_cell_angle_gamma 90.00
_space_group_name_H-M_alt 'C m c m'
_space_group_IT_number 63
_space_group_name_Hall '-C 2c 2'
loop_
_atom_site_label
_atom_site_type_symbol
_atom_site_fract_x
_atom_site_fract_y
_atom_site_fract_z
_atom_site_occupancy
Tm1 Tm 0.0000 0.1283 0.2500 1
Zn1 Zn 0.0000 0.1500 0.5988 1
Zn2 Zn 0.0000 0.3747 0.0430 1
Zn3 Zn 0.1535 0.3722 0.7500 1
Zn4 Zn 0.2266 0.0000 0.0000 1
Zn5 Zn 0.2288 0.3694 0.2500 1
Ni1 Ni 0.2500 0.2500 0.0000 1
```

---

Record 6
The following is a DFT calculation (PBE) of Tb4Tm4Sc after structural relaxation.

Computed properties:
As for the total moment: 0.0 Bohr magnetons per cell. The total energy is -4.72 eV/atom. The value obtained for the density is 8.28 g cm⁻³. The value obtained for the formation energy from the elements is 32 meV/atom. The value obtained for the density of states at the Fermi level is 27.08 states/eV per cell. As for the crystal system: tetragonal.

Cell and atoms, written as CIF:
```
data_Tb4Tm4Sc
_chemical_formula_sum 'Tb8 Tm8 Sc2'
_cell_length_a 10.4947
_cell_length_b 10.4947
_cell_length_c 4.9380
_cell_angle_alpha 90.00
_cell_angle_beta 90.00
_cell_angle_gamma 90.00
_space_group_name_H-M_alt 'I 4/m m m'
_space_group_IT_number 139
_space_group_name_Hall '-I 4 2'
loop_
_atom_site_label
_atom_site_type_symbol
_atom_site_fract_x
_atom_site_fract_y
_atom_site_fract_z
_atom_site_occupancy
Tb1 Tb 0.0000 0.3303 0.0000 1
Tm1 Tm 0.1645 0.1645 0.5000 1
Sc1 Sc 0.0000 0.0000 0.0000 1
```

---

Record 7
The following is a DFT calculation (PBE) of Cu2BrCl2 after structural relaxation.

Computed properties:
As for the total moment: 1.9 Bohr magnetons per cell. The total energy is -3.06 eV/atom. For the energy relative to the lowest polymorph listed for this composition, the calculation gives 48 meV per atom. The value obtained for the density is 3.58 g cm⁻³. The value obtained for the formation energy (no corrections) is -344 meV per atom. The value obtained for the density of states at the Fermi level is 25.97 states/eV per cell. As for the crystal system: monoclinic.

Cell and atoms, written as CIF:
```
data_Cu2BrCl2
_chemical_formula_sum 'Cu8 Br4 Cl8'
_cell_length_a 9.7874
_cell_length_b 10.7403
_cell_length_c 6.7951
_cell_angle_alpha 90.00
_cell_angle_beta 133.78
_cell_angle_gamma 90.00
_space_group_name_H-M_alt 'C 1 2/c 1'
_space_group_IT_number 15
_space_group_name_Hall '-C 2yc'
loop_
_atom_site_label
_atom_site_type_symbol
_atom_site_fract_x
_atom_site_fract_y
_atom_site_fract_z
_atom_site_occupancy
Cu1 Cu 0.0011 0.2059 0.0145 1
Br1 Br 0.0000 0.3476 0.7500 1
Cl1 Cl 0.0000 0.0000 0.0000 1
Cl2 Cl 0.2500 0.2500 0.5000 1
```

---

Record 8
The following is a DFT calculation (PBE) of LiAcGdTl after structural relaxation.

Computed properties:
As for the total moment: 30.9 Bohr magnetons per cell. The total energy is -5.78 eV/atom. The value obtained for the density is 8.05 g cm⁻³. The value obtained for the formation energy from the elements is -167 meV/atom. The value obtained for the density of states at the Fermi level is 19.58 states/eV per cell. As for the crystal system: cubic.

Cell and atoms, written as CIF:
```
data_LiAcGdTl
_chemical_formula_sum 'Li4 Ac4 Gd4 Tl4'
_cell_length_a 7.8915
_cell_length_b 7.8915
_cell_length_c 7.8915
_cell_angle_alpha 90.00
_cell_angle_beta 90.00
_cell_angle_gamma 90.00
_space_group_name_H-M_alt 'F -4 3 m'
_space_group_IT_number 216
_space_group_name_Hall 'F -4 2 3'
loop_
_atom_site_label
_atom_site_type_symbol
_atom_site_fract_x
_atom_site_fract_y
_atom_site_fract_z
_atom_site_occupancy
Li1 Li 0.0000 0.0000 0.0000 1
Ac1 Ac 0.2500 0.2500 0.7500 1
Gd1 Gd 0.2500 0.2500 0.2500 1
Tl1 Tl 0.0000 0.0000 0.5000 1
```